VASP calculation (PBE with a Hubbard U) on RbNiI2O after structural relaxation.

Cell lengths 6.7373, 6.7373, 4.3967 Å; angles 90.00, 90.00, 90.00 degrees
Last column: nearest neighbours and their distance in Å.
Fractional coordinates of all 5 atoms:
1 I 0.0000 0.5000 0.0000  2 Rb 3.37
2 I 0.5000 0.0000 0.0000  2 Rb 3.37
3 Ni 0.5000 0.5000 0.5000  8 I 4.02, 2 Ni 4.40
4 O 0.0000 0.0000 0.5000  2 Rb 2.20
5 Rb 0.0000 0.0000 0.0000  2 O 2.20

Size of the total moment   2.30 μB per cell
Space group   P4/mmm (123)
DFT total energy   -8.2 eV per formula unit